# 1
! PBEsol Fe2CoRh, relaxed; values from VASP
! - Energy of formation from the pure elements: 0.050 eV per atom
! - Density of states at the Fermi level: 3.2 states/eV/f.u.
! - DFT total energy: -8.4002 eV/atom
&SYSTEM
  ibrav = 0, nat = 4, ntyp = 3
/
ATOMIC_SPECIES
Fe 55.84 Fe.upf
Co 58.93 Co.upf
Rh 102.91 Rh.upf
ATOMIC_POSITIONS crystal
Fe 0.0000 0.0000 0.0000
Fe 0.7581 0.2581 0.5000
Co 0.5198 0.5198 0.0000
Rh 0.2569 0.7569 0.5000
CELL_PARAMETERS angstrom
-1.4255 2.0425 4.0816
1.4255 -2.0425 4.0816
1.4255 2.0425 -4.0816

# 2
! PBEsol Fe2CoRh, relaxed; values from VASP
! - Energy of formation from the pure elements: 0.104 eV per atom
! - Density of states at the Fermi level: 4.2 states/eV/f.u.
! - DFT total energy: -8.3469 eV/atom
&SYSTEM
  ibrav = 0, nat = 4, ntyp = 3
/
ATOMIC_SPECIES
Fe 55.84 Fe.upf
Co 58.93 Co.upf
Rh 102.91 Rh.upf
ATOMIC_POSITIONS crystal
Fe 0.0000 0.0000 0.0000
Fe 0.2500 0.2500 0.2500
Co 0.5000 0.5000 0.5000
Rh 0.7500 0.7500 0.7500
CELL_PARAMETERS angstrom
0.0000 2.8795 2.8795
2.8795 0.0000 2.8795
2.8795 2.8795 0.0000